[1]
## Ba2PmSn2 (PBE-GGA)

Data for crystalline Ba2PmSn2 at its relaxed geometry.

Structure (CIF):
```
data_Ba2PmSn2
_symmetry_space_group_name_H-M 'P 1'
_symmetry_Int_Tables_number 1
_cell_length_a 4.918
_cell_length_b 7.087
_cell_length_c 7.087
_cell_angle_alpha 61.72
_cell_angle_beta 69.70
_cell_angle_gamma 69.70
loop_
_symmetry_equiv_pos_as_xyz
'x,y,z'
loop_
_atom_site_label
_atom_site_type_symbol
_atom_site_fract_x
_atom_site_fract_y
_atom_site_fract_z
Pm1 Pm 0.000 0.000 0.000
Sn1 Sn 0.500 0.715 0.285
Sn2 Sn 0.500 0.285 0.715
Ba1 Ba 0.199 0.301 0.301
Ba2 Ba 0.801 0.699 0.699
```

Computed properties:
Total DFT energy (no corrections) (eV/cell): -19.41



[2]
## BaPm2Sn (PBE-GGA)

Data for crystalline BaPm2Sn at its relaxed geometry.

Structure (CIF):
```
data_BaPm2Sn
_symmetry_space_group_name_H-M 'P 1'
_symmetry_Int_Tables_number 1
_cell_length_a 4.952
_cell_length_b 5.176
_cell_length_c 5.176
_cell_angle_alpha 90.00
_cell_angle_beta 90.00
_cell_angle_gamma 90.00
loop_
_symmetry_equiv_pos_as_xyz
'x,y,z'
loop_
_atom_site_label
_atom_site_type_symbol
_atom_site_fract_x
_atom_site_fract_y
_atom_site_fract_z
Sn1 Sn 0.500 0.500 0.500
Pm1 Pm 0.000 0.500 0.000
Pm2 Pm 0.000 0.000 0.500
Ba1 Ba 0.500 0.000 0.000
```

Computed properties:
Total DFT energy (no corrections) (eV/cell): -16.41



[3]
## BaPm2Sn (PBE-GGA)

Data for crystalline BaPm2Sn at its relaxed geometry.

Structure (CIF):
```
data_BaPm2Sn
_symmetry_space_group_name_H-M 'P 1'
_symmetry_Int_Tables_number 1
_cell_length_a 4.175
_cell_length_b 4.175
_cell_length_c 8.231
_cell_angle_alpha 90.00
_cell_angle_beta 90.00
_cell_angle_gamma 90.00
loop_
_symmetry_equiv_pos_as_xyz
'x,y,z'
loop_
_atom_site_label
_atom_site_type_symbol
_atom_site_fract_x
_atom_site_fract_y
_atom_site_fract_z
Sn1 Sn 0.500 0.500 0.000
Ba1 Ba 0.500 0.500 0.500
Pm1 Pm 0.000 0.000 0.814
Pm2 Pm 0.000 0.000 0.186
```

Computed properties:
Total DFT energy (no corrections) (eV/cell): -16.30



[4]
## Ba2Pm3Sn4 (PBE-GGA)

Data for crystalline Ba2Pm3Sn4 at its relaxed geometry.

Structure (CIF):
```
data_Ba2Pm3Sn4
_symmetry_space_group_name_H-M 'P 1'
_symmetry_Int_Tables_number 1
_cell_length_a 7.531
_cell_length_b 9.316
_cell_length_c 9.825
_cell_angle_alpha 90.00
_cell_angle_beta 112.54
_cell_angle_gamma 90.00
loop_
_symmetry_equiv_pos_as_xyz
'x,y,z'
loop_
_atom_site_label
_atom_site_type_symbol
_atom_site_fract_x
_atom_site_fract_y
_atom_site_fract_z
Sn1 Sn 0.211 0.750 0.922
Sn2 Sn 0.688 0.544 0.376
Sn3 Sn 0.789 0.250 0.078
Sn4 Sn 0.188 0.956 0.376
Sn5 Sn 0.812 0.044 0.624
Sn6 Sn 0.289 0.250 0.078
Sn7 Sn 0.312 0.456 0.624
Sn8 Sn 0.711 0.750 0.922
Pm1 Pm 0.039 0.750 0.578
Pm2 Pm 0.461 0.250 0.422
Pm3 Pm 0.539 0.750 0.578
Pm4 Pm 0.961 0.250 0.422
Pm5 Pm 0.500 0.500 0.000
Pm6 Pm 0.000 0.000 0.000
Ba1 Ba 0.110 0.584 0.220
Ba2 Ba 0.890 0.416 0.780
Ba3 Ba 0.610 0.916 0.220
Ba4 Ba 0.390 0.084 0.780
```

Computed properties:
Total DFT energy (no corrections) (eV/cell): -78.94



[5]
## BaPmSn3 (PBE-GGA)

Data for crystalline BaPmSn3 at its relaxed geometry.

Structure (CIF):
```
data_BaPmSn3
_symmetry_space_group_name_H-M 'P 1'
_symmetry_Int_Tables_number 1
_cell_length_a 4.562
_cell_length_b 4.812
_cell_length_c 15.509
_cell_angle_alpha 98.92
_cell_angle_beta 90.00
_cell_angle_gamma 90.00
loop_
_symmetry_equiv_pos_as_xyz
'x,y,z'
loop_
_atom_site_label
_atom_site_type_symbol
_atom_site_fract_x
_atom_site_fract_y
_atom_site_fract_z
Ba1 Ba 0.250 0.079 0.158
Ba2 Ba 0.750 0.921 0.842
Sn1 Sn 0.250 0.472 0.944
Sn2 Sn 0.750 0.307 0.614
Sn3 Sn 0.250 0.370 0.740
Sn4 Sn 0.750 0.630 0.260
Sn5 Sn 0.250 0.693 0.386
Sn6 Sn 0.750 0.528 0.056
Pm1 Pm 0.750 0.204 0.407
Pm2 Pm 0.250 0.796 0.593
```

Computed properties:
Total DFT energy (no corrections) (eV/cell): -43.42



[6]
## BaPmTlSn (PBE-GGA)

Data for crystalline BaPmTlSn at its relaxed geometry.

Structure (CIF):
```
data_BaPmTlSn
_symmetry_space_group_name_H-M 'P 1'
_symmetry_Int_Tables_number 1
_cell_length_a 5.744
_cell_length_b 5.744
_cell_length_c 5.744
_cell_angle_alpha 60.00
_cell_angle_beta 60.00
_cell_angle_gamma 60.00
loop_
_symmetry_equiv_pos_as_xyz
'x,y,z'
loop_
_atom_site_label
_atom_site_type_symbol
_atom_site_fract_x
_atom_site_fract_y
_atom_site_fract_z
Sn1 Sn 0.750 0.750 0.750
Ba1 Ba 0.500 0.500 0.500
Pm1 Pm 0.000 0.000 0.000
Tl1 Tl 0.250 0.250 0.250
```

Computed properties:
Total DFT energy (no corrections) (eV/cell): -14.67



Which of these has the lowest total DFT energy (no corrections)? Ba2Pm3Sn4